Record 1
ZnSCl2 | Alexandria | PBE | relaxed; total magnetization = 2.00 Bohr magnetons per cell; distance to the lowest polymorph of the same formula = 78 kJ/mol of formula units; symmetry = No. 166; E_form (uncorrected) = 118 meV per atom
1.0
2.961 9.773 2.885
6.027 8.705 0.713
2.839 10.176 -0.999
Cl Zn S
2 1 1
Direct
0.934 0.934 0.934 Cl
0.066 0.066 0.066 Cl
0.000 0.000 0.000 Zn
0.500 0.500 0.500 S

***

Record 2
Y5HoTm6 | Alexandria | PBE | relaxed; total magnetization = 0.00 Bohr magnetons per cell; symmetry = No. 12; DFT formation energy = 0.35 eV per formula unit
1.0
11.614 -1.346 0.000
1.745 5.855 0.000
0.873 2.928 5.283
Y Tm Ho
5 6 1
Direct
0.500 0.833 0.333 Y
0.000 0.333 0.333 Y
0.500 0.500 0.000 Y
0.500 0.167 0.667 Y
0.000 0.667 0.667 Y
0.751 0.750 0.000 Tm
0.751 0.415 0.667 Tm
0.249 0.250 0.000 Tm
0.249 0.585 0.333 Tm
0.751 0.083 0.333 Tm
0.249 0.917 0.667 Tm
0.000 0.000 0.000 Ho

***

Record 3
Lu2MnCo | Alexandria | PBE | relaxed; total magnetization = 3.87 Bohr magnetons per cell; distance to the lowest polymorph of the same formula = 203 kJ/mol of formula units; symmetry = No. 166; DFT formation energy = 1.86 eV per formula unit
1.0
-1.912 -0.125 2.684
1.094 -1.481 2.736
3.376 7.667 4.787
Co Lu Mn
1 2 1
Direct
0.500 0.500 0.500 Co
0.897 0.897 0.310 Lu
0.103 0.103 0.690 Lu
0.000 0.000 0.000 Mn

***

Record 4
Te3RuAu | Alexandria | PBE | relaxed; total magnetization = 3.09 Bohr magnetons per cell; distance to the lowest polymorph of the same formula = 295 kJ/mol of formula units; symmetry = No. 221; E_form (uncorrected) = 1252 meV per atom
1.0
5.407 0.000 0.000
0.000 5.407 0.000
0.000 0.000 5.407
Te Au Ru
3 1 1
Direct
0.000 0.500 0.000 Te
0.000 0.000 0.500 Te
0.500 0.000 0.000 Te
0.000 0.000 0.000 Au
0.500 0.500 0.500 Ru